Tl3Mo4W2N3 | OQMD via LeMat-Bulk | PBE | optimized geometry; total energy = -196.57 eV per cell
1.0
4.999 -2.760 0.000
4.999 2.760 0.000
-3.064 0.000 13.487
Tl Mo W N
6 8 4 6
Direct
0.085 0.915 0.750
0.258 0.415 0.255
0.415 0.258 0.755
0.585 0.742 0.245
0.742 0.585 0.745
0.915 0.085 0.250
0.037 0.183 0.575
0.109 0.311 0.922
0.183 0.037 0.075
0.311 0.109 0.422
0.689 0.891 0.578
0.817 0.963 0.925
0.891 0.689 0.078
0.963 0.817 0.425
0.343 0.516 0.569
0.484 0.657 0.931
0.516 0.343 0.069
0.657 0.484 0.431
0.000 0.500 0.500
0.175 0.639 0.979
0.361 0.825 0.521
0.500 0.000 0.000
0.639 0.175 0.479
0.825 0.361 0.021



Y2Tl3Mo4N3 | OQMD via LeMat-Bulk | PBE | optimized geometry; total energy = -184.63 eV per cell
1.0
5.024 -2.919 0.000
5.024 2.919 0.000
-3.376 0.000 13.830
Y Tl Mo N
4 6 8 6
Direct
0.032 0.865 0.601
0.135 0.968 0.899
0.865 0.032 0.101
0.968 0.135 0.399
0.082 0.323 0.748
0.323 0.082 0.248
0.489 0.511 0.750
0.511 0.489 0.250
0.677 0.918 0.752
0.918 0.677 0.252
0.189 0.368 0.066
0.321 0.465 0.434
0.368 0.189 0.566
0.465 0.321 0.934
0.535 0.679 0.066
0.632 0.811 0.434
0.679 0.535 0.566
0.811 0.632 0.934
0.000 0.500 0.500
0.164 0.673 0.000
0.327 0.836 0.500
0.500 0.000 0.000
0.673 0.164 0.500
0.836 0.327 0.000



TlZnMo4N2 | OQMD via LeMat-Bulk | PBE | optimized geometry; total energy = -62.81 eV per cell
1.0
2.953 0.000 0.000
-1.477 2.558 0.000
0.000 0.000 14.624
Tl Zn Mo N
1 1 4 2
Direct
0.000 0.000 0.000
0.667 0.333 0.500
0.000 0.000 0.349
0.000 0.000 0.651
0.667 0.333 0.170
0.667 0.333 0.830
0.333 0.667 0.259
0.333 0.667 0.741



Zr2Tl3Mo4N3 | OQMD via LeMat-Bulk | PBE | optimized geometry; total energy = -191.35 eV per cell
1.0
4.910 -2.830 0.000
4.910 2.830 0.000
-3.159 0.000 13.901
Zr Tl Mo N
4 6 8 6
Direct
0.027 0.851 0.589
0.149 0.973 0.911
0.851 0.027 0.089
0.973 0.149 0.411
0.080 0.281 0.746
0.281 0.080 0.246
0.445 0.555 0.750
0.555 0.445 0.250
0.719 0.920 0.754
0.920 0.719 0.254
0.187 0.374 0.072
0.324 0.462 0.428
0.374 0.187 0.572
0.462 0.324 0.928
0.538 0.676 0.072
0.626 0.813 0.428
0.676 0.538 0.572
0.813 0.626 0.928
0.000 0.500 0.500
0.161 0.678 0.000
0.322 0.839 0.500
0.500 0.000 0.000
0.678 0.161 0.500
0.839 0.322 0.000



Zr4Tl3Mo2N3 | OQMD via LeMat-Bulk | PBE | optimized geometry; total energy = -190.79 eV per cell
1.0
5.051 -2.907 0.000
5.051 2.907 0.000
-3.267 0.000 14.025
Zr Tl Mo N
8 6 4 6
Direct
0.015 0.205 0.082
0.152 0.304 0.418
0.205 0.015 0.582
0.304 0.152 0.918
0.696 0.848 0.082
0.795 0.985 0.418
0.848 0.696 0.582
0.985 0.795 0.918
0.102 0.898 0.250
0.271 0.415 0.747
0.415 0.271 0.247
0.585 0.729 0.753
0.729 0.585 0.253
0.898 0.102 0.750
0.370 0.522 0.067
0.478 0.630 0.433
0.522 0.370 0.567
0.630 0.478 0.933
0.000 0.500 0.000
0.151 0.674 0.500
0.326 0.849 0.000
0.500 0.000 0.500
0.674 0.151 0.000
0.849 0.326 0.500



MoW3N | OQMD via LeMat-Bulk | PBE | optimized geometry; total energy = -57.54 eV per cell
1.0
4.136 0.000 0.000
0.000 4.136 0.000
0.000 0.000 4.136
Mo W N
1 3 1
Direct
0.000 0.000 0.000
0.000 0.500 0.500
0.500 0.000 0.500
0.500 0.500 0.000
0.500 0.500 0.500



Y3Mo3W2N12 | OQMD via LeMat-Bulk | PBE | optimized geometry; total energy = -769.53 eV per cell
1.0
-6.354 6.354 6.354
6.354 -6.354 6.354
6.354 6.354 -6.354
Y Mo W N
12 12 8 48
Direct
0.125 0.250 0.375
0.125 0.375 0.750
0.250 0.375 0.125
0.250 0.875 0.625
0.375 0.125 0.250
0.375 0.750 0.125
0.625 0.250 0.875
0.625 0.875 0.750
0.750 0.125 0.375
0.750 0.625 0.875
0.875 0.625 0.250
0.875 0.750 0.625
0.125 0.750 0.875
0.125 0.875 0.250
0.250 0.125 0.875
0.250 0.625 0.375
0.375 0.250 0.625
0.375 0.625 0.750
0.625 0.375 0.250
0.625 0.750 0.375
0.750 0.375 0.625
0.750 0.875 0.125
0.875 0.125 0.750
0.875 0.250 0.125
0.000 0.000 0.000
0.000 0.000 0.500
0.000 0.500 0.000
0.000 0.500 0.500
0.500 0.000 0.000
0.500 0.000 0.500
0.500 0.500 0.000
0.500 0.500 0.500
0.021 0.201 0.117
0.021 0.320 0.904
0.085 0.701 0.680
0.085 0.883 0.404
0.096 0.617 0.415
0.096 0.979 0.680
0.117 0.021 0.201
0.117 0.596 0.915
0.180 0.201 0.585
0.180 0.479 0.596
0.201 0.117 0.021
0.201 0.585 0.180
0.299 0.320 0.915
0.299 0.479 0.383
0.320 0.904 0.021
0.320 0.915 0.299
0.383 0.299 0.479
0.383 0.585 0.904
0.404 0.085 0.883
0.404 0.820 0.521
0.415 0.096 0.617
0.415 0.820 0.799
0.479 0.383 0.299
0.479 0.596 0.180
0.521 0.404 0.820
0.521 0.617 0.701
0.585 0.180 0.201
0.585 0.904 0.383
0.596 0.180 0.479
0.596 0.915 0.117
0.617 0.415 0.096
0.617 0.701 0.521
0.680 0.085 0.701
0.680 0.096 0.979
0.701 0.521 0.617
0.701 0.680 0.085
0.799 0.415 0.820
0.799 0.883 0.979
0.820 0.521 0.404
0.820 0.799 0.415
0.883 0.404 0.085
0.883 0.979 0.799
0.904 0.021 0.320
0.904 0.383 0.585
0.915 0.117 0.596
0.915 0.299 0.320
0.979 0.680 0.096
0.979 0.799 0.883



Zn3Mo4W2N3 | OQMD via LeMat-Bulk | PBE | optimized geometry; total energy = -197.18 eV per cell
1.0
4.242 -2.449 0.000
4.242 2.449 0.000
-2.829 0.000 14.781
Zn Mo W N
6 8 4 6
Direct
0.086 0.914 0.750
0.250 0.419 0.250
0.419 0.250 0.750
0.581 0.750 0.250
0.750 0.581 0.750
0.914 0.086 0.250
0.033 0.198 0.596
0.133 0.302 0.904
0.198 0.033 0.096
0.302 0.133 0.404
0.698 0.867 0.596
0.802 0.967 0.904
0.867 0.698 0.096
0.967 0.802 0.404
0.364 0.532 0.597
0.468 0.636 0.903
0.532 0.364 0.097
0.636 0.468 0.403
0.000 0.500 0.500
0.173 0.663 0.000
0.337 0.827 0.500
0.500 0.000 0.000
0.663 0.173 0.500
0.827 0.337 0.000



Zr3Mo3W2N12 | OQMD via LeMat-Bulk | PBE | optimized geometry; total energy = -780.57 eV per cell
1.0
-6.203 6.203 6.203
6.203 -6.203 6.203
6.203 6.203 -6.203
Zr Mo W N
12 12 8 48
Direct
0.125 0.250 0.375
0.125 0.375 0.750
0.250 0.375 0.125
0.250 0.875 0.625
0.375 0.125 0.250
0.375 0.750 0.125
0.625 0.250 0.875
0.625 0.875 0.750
0.750 0.125 0.375
0.750 0.625 0.875
0.875 0.625 0.250
0.875 0.750 0.625
0.125 0.750 0.875
0.125 0.875 0.250
0.250 0.125 0.875
0.250 0.625 0.375
0.375 0.250 0.625
0.375 0.625 0.750
0.625 0.375 0.250
0.625 0.750 0.375
0.750 0.375 0.625
0.750 0.875 0.125
0.875 0.125 0.750
0.875 0.250 0.125
0.000 0.000 0.000
0.000 0.000 0.500
0.000 0.500 0.000
0.000 0.500 0.500
0.500 0.000 0.000
0.500 0.000 0.500
0.500 0.500 0.000
0.500 0.500 0.500
0.034 0.213 0.123
0.034 0.321 0.911
0.089 0.623 0.410
0.089 0.966 0.679
0.090 0.713 0.679
0.090 0.877 0.411
0.123 0.034 0.213
0.123 0.589 0.910
0.179 0.213 0.590
0.179 0.466 0.589
0.213 0.123 0.034
0.213 0.590 0.179
0.287 0.321 0.910
0.287 0.466 0.377
0.321 0.910 0.287
0.321 0.911 0.034
0.377 0.287 0.466
0.377 0.590 0.911
0.410 0.089 0.623
0.410 0.821 0.787
0.411 0.090 0.877
0.411 0.821 0.534
0.466 0.377 0.287
0.466 0.589 0.179
0.534 0.411 0.821
0.534 0.623 0.713
0.589 0.179 0.466
0.589 0.910 0.123
0.590 0.179 0.213
0.590 0.911 0.377
0.623 0.410 0.089
0.623 0.713 0.534
0.679 0.089 0.966
0.679 0.090 0.713
0.713 0.534 0.623
0.713 0.679 0.090
0.787 0.410 0.821
0.787 0.877 0.966
0.821 0.534 0.411
0.821 0.787 0.410
0.877 0.411 0.090
0.877 0.966 0.787
0.910 0.123 0.589
0.910 0.287 0.321
0.911 0.034 0.321
0.911 0.377 0.590
0.966 0.679 0.089
0.966 0.787 0.877



Zr3Mo2W3N12 | OQMD via LeMat-Bulk | PBE | optimized geometry; total energy = -790.96 eV per cell
1.0
-6.230 6.230 6.230
6.230 -6.230 6.230
6.230 6.230 -6.230
Zr Mo W N
12 8 12 48
Direct
0.125 0.250 0.375
0.125 0.375 0.750
0.250 0.375 0.125
0.250 0.875 0.625
0.375 0.125 0.250
0.375 0.750 0.125
0.625 0.250 0.875
0.625 0.875 0.750
0.750 0.125 0.375
0.750 0.625 0.875
0.875 0.625 0.250
0.875 0.750 0.625
0.000 0.000 0.000
0.000 0.000 0.500
0.000 0.500 0.000
0.000 0.500 0.500
0.500 0.000 0.000
0.500 0.000 0.500
0.500 0.500 0.000
0.500 0.500 0.500
0.125 0.750 0.875
0.125 0.875 0.250
0.250 0.125 0.875
0.250 0.625 0.375
0.375 0.250 0.625
0.375 0.625 0.750
0.625 0.375 0.250
0.625 0.750 0.375
0.750 0.375 0.625
0.750 0.875 0.125
0.875 0.125 0.750
0.875 0.250 0.125
0.035 0.217 0.125
0.035 0.318 0.910
0.090 0.625 0.408
0.090 0.965 0.682
0.092 0.717 0.682
0.092 0.875 0.410
0.125 0.035 0.217
0.125 0.590 0.908
0.182 0.217 0.592
0.182 0.465 0.590
0.217 0.125 0.035
0.217 0.592 0.182
0.283 0.318 0.908
0.283 0.465 0.375
0.318 0.908 0.283
0.318 0.910 0.035
0.375 0.283 0.465
0.375 0.592 0.910
0.408 0.090 0.625
0.408 0.818 0.783
0.410 0.092 0.875
0.410 0.818 0.535
0.465 0.375 0.283
0.465 0.590 0.182
0.535 0.410 0.818
0.535 0.625 0.717
0.590 0.182 0.465
0.590 0.908 0.125
0.592 0.182 0.217
0.592 0.910 0.375
0.625 0.408 0.090
0.625 0.717 0.535
0.682 0.090 0.965
0.682 0.092 0.717
0.717 0.535 0.625
0.717 0.682 0.092
0.783 0.408 0.818
0.783 0.875 0.965
0.818 0.535 0.410
0.818 0.783 0.408
0.875 0.410 0.092
0.875 0.965 0.783
0.908 0.125 0.590
0.908 0.283 0.318
0.910 0.035 0.318
0.910 0.375 0.592
0.965 0.682 0.090
0.965 0.783 0.875